1.
A geometry-optimized MgPd7Pb2 structure, computed with PBE.

Output
ρ   9.913 g cm⁻³
Space group   No. 65
DFT total energy   -4.579 eV per atom

Cell: 9.162 9.162 3.015 Å, 90.00 90.00 128.41°
Element x y z (fractional)
Mg: 0.000 0.000 0.000
Pd: 0.117 0.293 0.500
Pd: 0.187 0.813 0.000
Pd: 0.293 0.117 0.500
Pd: 0.500 0.500 0.500
Pd: 0.707 0.883 0.500
Pd: 0.813 0.187 0.000
Pd: 0.883 0.707 0.500
Pb: 0.327 0.673 0.500
Pb: 0.673 0.327 0.500

---

2.
A geometry-optimized Tb5Tm8Zr structure, computed with PBE.

Output
ρ   8.372 g cm⁻³
Space group   No. 5
DFT total energy   -4.629 eV per atom

Cell: 8.205 8.205 9.211 Å, 122.18 122.18 71.47°
Element x y z (fractional)
Tb: 0.000 0.000 0.000
Tb: 0.244 0.413 0.021
Tb: 0.587 0.756 0.979
Tb: 0.761 0.237 0.286
Tb: 0.763 0.239 0.714
Tm: 0.103 0.868 0.667
Tm: 0.132 0.897 0.333
Tm: 0.235 0.401 0.619
Tm: 0.400 0.176 0.295
Tm: 0.518 0.041 0.782
Tm: 0.599 0.765 0.381
Tm: 0.824 0.600 0.705
Tm: 0.959 0.482 0.218
Zr: 0.380 0.620 0.500

---

3.
A geometry-optimized Ag7SeS2 structure, computed with PBE.

Output
ρ   6.739 g cm⁻³
Energy relative to the elements, uncorrected   61.2 meV/atom
Space group   No. 12
DFT total energy   -3.109 eV per atom

Cell: 7.844 7.844 4.214 Å, 90.14 90.14 121.41°
Element x y z (fractional)
Ag: 0.000 0.000 0.000
Ag: 0.206 0.426 0.997
Ag: 0.279 0.721 0.500
Ag: 0.426 0.206 0.997
Ag: 0.574 0.794 0.003
Ag: 0.721 0.279 0.500
Ag: 0.794 0.574 0.003
Se: 0.500 0.500 0.500
S: 0.176 0.824 0.000
S: 0.824 0.176 0.000

---

4.
A geometry-optimized Pm2GaNi structure, computed with PBE.

Output
ρ   7.600 g cm⁻³
Space group   No. 123
DFT total energy   -4.974 eV per atom

Cell: 3.532 3.532 7.327 Å, 90.00 90.00 90.00°
Element x y z (fractional)
Pm: 0.000 0.000 0.232
Pm: 0.000 0.000 0.768
Ga: 0.500 0.500 0.500
Ni: 0.500 0.500 0.000

---

5.
A geometry-optimized Hf2H3Au structure, computed with PBE.

Output
ρ   13.546 g cm⁻³
Space group   No. 12
DFT total energy   -5.988 eV per atom

Cell: 6.017 6.017 7.624 Å, 108.63 108.63 31.64°
Element x y z (fractional)
Hf: 0.019 0.019 0.213
Hf: 0.336 0.336 0.388
Hf: 0.664 0.664 0.612
Hf: 0.981 0.981 0.787
H: 0.124 0.124 0.712
H: 0.174 0.174 0.450
H: 0.486 0.486 0.633
H: 0.514 0.514 0.367
H: 0.826 0.826 0.550
H: 0.876 0.876 0.288
Au: 0.336 0.336 0.942
Au: 0.664 0.664 0.058

---

6.
A geometry-optimized ZrReRh2 structure, computed with PBE.

Output
ρ   11.321 g cm⁻³
Space group   No. 122
DFT total energy   -8.701 eV per atom
E above lowest polymorph   565 meV/atom

Cell: 9.336 9.336 9.336 Å, 155.32 155.32 35.19°
Element x y z (fractional)
Zr: 0.000 0.000 0.000
Zr: 0.750 0.250 0.500
Re: 0.250 0.750 0.500
Re: 0.500 0.500 0.000
Rh: 0.146 0.625 0.021
Rh: 0.375 0.396 0.521
Rh: 0.604 0.125 0.979
Rh: 0.875 0.854 0.479

---

7.
A geometry-optimized CaTbIn2Se4 structure, computed with PBE.

Output
ρ   5.527 g cm⁻³
Energy relative to the elements, uncorrected   -1194.2 meV/atom
Space group   No. 10
DFT total energy   -4.450 eV per atom

Cell: 7.366 4.189 7.636 Å, 90.00 108.33 90.00°
Element x y z (fractional)
Ca: 0.000 0.000 0.000
Tb: 0.500 0.500 0.000
In: 0.000 0.500 0.500
In: 0.500 0.000 0.500
Se: 0.257 0.500 0.231
Se: 0.271 0.000 0.776
Se: 0.729 0.000 0.224
Se: 0.743 0.500 0.769

---

8.
A geometry-optimized Mg6MnGa structure, computed with PBE.

Output
ρ   2.788 g cm⁻³
Space group   No. 38
DFT total energy   -2.667 eV per atom

Cell: 4.923 6.147 6.147 Å, 60.01 90.00 90.00°
Element x y z (fractional)
Mg: 0.000 0.000 0.000
Mg: 0.000 0.012 0.496
Mg: 0.000 0.496 0.012
Mg: 0.500 0.336 0.829
Mg: 0.500 0.829 0.336
Mg: 0.500 0.834 0.834
Mn: 0.500 0.340 0.340
Ga: 0.000 0.491 0.491